Run i
Compound: AsAuOF2
Source: Alexandria
Functional: PBE
Structure: optimized geometry

Computed properties:
Crystal system: tetragonal
Symmetry: P4/mmm, No. 123

Lattice parameters (Å, degrees): 4.268 4.268 4.367 90.00 90.00 90.00
Site moments in Bohr magnetons follow the coordinates.
Positions (direct):
As 0.500 0.500 0.500  0.74
Au 0.000 0.000 0.000  -0.09
O 0.000 0.000 0.500  -0.16
F 0.000 0.500 0.000  0.04
F 0.500 0.000 0.000  0.04

=====

Run ii
Compound: AsAuOF2
Source: Alexandria
Functional: PBE
Structure: optimized geometry

Computed properties:
Crystal system: tetragonal
Symmetry: P4/mmm, No. 123

Lattice parameters (Å, degrees): 4.266 4.266 3.965 90.00 90.00 90.00
Positions (direct):
As 0.000 0.000 0.000
Au 0.500 0.500 0.500
O 0.000 0.000 0.500
F 0.000 0.500 0.000
F 0.500 0.000 0.000

=====

Relative energies with respect to the most stable structure, expressed in eV/atom: run i 0.769; run ii 0.000.

=====

Run i
Compound: AsPtAu2F
Source: Alexandria
Functional: PBE
Structure: optimized geometry

Computed properties:
Crystal system: tetragonal
Symmetry: P4/mmm, No. 123

Lattice parameters (Å, degrees): 4.912 3.858 4.912 90.00 90.00 90.00
Positions (direct):
As 0.000 0.000 0.000
Au 0.000 0.000 0.500
Au 0.500 0.000 0.000
Pt 0.500 0.500 0.500
F 0.000 0.500 0.000

=====

Run ii
Compound: AsPtAu2F
Source: Alexandria
Functional: PBE
Structure: optimized geometry

Computed properties:
Crystal system: tetragonal
Symmetry: P4/mmm, No. 123

Lattice parameters (Å, degrees): 5.248 4.527 5.248 90.00 90.00 90.00
Positions (direct):
As 0.000 0.500 0.000
Au 0.000 0.000 0.500
Au 0.500 0.000 0.000
Pt 0.000 0.000 0.000
F 0.500 0.500 0.500

=====

Relative energies with respect to the most stable structure, expressed in eV/atom: run i 0.000; run ii 0.310.

=====

Run i
Compound: As2AuSeF
Source: Alexandria
Functional: PBE
Structure: optimized geometry

Computed properties:
Crystal system: tetragonal
Symmetry: P4/mmm, No. 123

Lattice parameters (Å, degrees): 4.292 4.292 5.434 90.00 90.00 90.00
Positions (direct):
As 0.000 0.500 0.000
As 0.500 0.000 0.000
Au 0.500 0.500 0.500
Se 0.000 0.000 0.500
F 0.000 0.000 0.000

=====

Run ii
Compound: As2AuSeF
Source: Alexandria
Functional: PBE
Structure: optimized geometry

Computed properties:
Crystal system: tetragonal
Symmetry: P4/mmm, No. 123

Lattice parameters (Å, degrees): 5.054 5.054 5.088 90.00 90.00 90.00
Site moments in Bohr magnetons follow the coordinates.
Positions (direct):
As 0.000 0.500 0.000  0.02
As 0.500 0.000 0.000  0.02
Au 0.000 0.000 0.000  0.01
Se 0.000 0.000 0.500  0.14
F 0.500 0.500 0.500  0.17

=====

Relative energies with respect to the most stable structure, expressed in eV/atom: run i 0.000; run ii 0.204.